Entry a
Density functional theory data (PBE) for a relaxed GdHoSn crystal.

Computed properties:
Spin magnetization in μB per atom: 2.472
Fermi-level density of states in states/eV/f.u.: 3.00
Space group: I4mm, No. 107
Volume in Å³ per cell: 86.96

Unit cell a=7.334 b=7.334 c=7.334 alpha=151.97 beta=151.97 gamma=40.06
Atoms (fractional coordinates):
1 Gd 0.000 0.000 0.000
2 Ho 0.694 0.694 0.000
3 Sn 0.344 0.344 0.000

***

Entry b
Density functional theory data (PBE) for a relaxed GdHoSn crystal.

Computed properties:
Spin magnetization in μB per atom: 2.508
Fermi-level density of states in states/eV/f.u.: 3.81
Space group: P3m1, No. 156
Volume in Å³ per cell: 86.71

Unit cell a=5.148 b=5.148 c=3.778 alpha=90.00 beta=90.00 gamma=120.00
Atoms (fractional coordinates):
1 Gd 0.000 0.000 0.000
2 Ho 0.333 0.667 0.446
3 Sn 0.667 0.333 0.688

***

Entry c
Density functional theory data (PBE) for a relaxed GdHoSn crystal.

Computed properties:
Spin magnetization in μB per atom: 2.658
Fermi-level density of states in states/eV/f.u.: 4.97
Space group: F-43m, No. 216
Volume in Å³ per cell: 96.40

Unit cell a=5.147 b=5.147 c=5.147 alpha=60.00 beta=60.00 gamma=60.00
Atoms (fractional coordinates):
1 Gd 0.000 0.000 0.000
2 Ho 0.500 0.500 0.500
3 Sn 0.250 0.250 0.250

***

The energy of each structure relative to the most stable one, in kJ/mol of atoms, is as follows: entry a 0.0; entry b 6.9; entry c 2.7.

***

Entry a
Density functional theory data (PBE) for a relaxed TbGdHo2 crystal.

Computed properties:
Spin magnetization in μB per atom: 1.803
Fermi-level density of states in states/eV/f.u.: 5.88
Space group: P4/mmm, No. 123
Volume in Å³ per cell: 126.16

Unit cell a=3.547 b=3.547 c=10.026 alpha=90.00 beta=90.00 gamma=90.00
Atoms (fractional coordinates):
1 Tb 0.000 0.000 0.000
2 Gd 0.000 0.000 0.500
3 Ho 0.500 0.500 0.248
4 Ho 0.500 0.500 0.752

***

Entry b
Density functional theory data (PBE) for a relaxed TbGdHo2 crystal.

Computed properties:
Spin magnetization in μB per atom: 2.160
Fermi-level density of states in states/eV/f.u.: 8.28
Space group: Fm-3m, No. 225
Volume in Å³ per cell: 127.95

Unit cell a=5.656 b=5.656 c=5.656 alpha=60.00 beta=60.00 gamma=60.00
Atoms (fractional coordinates):
1 Tb 0.000 0.000 0.000
2 Gd 0.500 0.500 0.500
3 Ho 0.250 0.250 0.250
4 Ho 0.750 0.750 0.750

***

The energy of each structure relative to the most stable one, in kJ/mol of atoms, is as follows: entry a 0.0; entry b 9.5.